# CrCoAg2 | Alexandria via LeMat-Bulk | meta-GGA SCAN | PBEsol geometry
# - V: 14.53 Å³/atom
# - E_form: 0.414 eV/atom
data_CrCoAg2
_symmetry_space_group_name_H-M 'C m m m'
_symmetry_Int_Tables_number 65
_symmetry_space_group_name_Hall '-C 2 2'
_cell_length_a 5.3923
_cell_length_b 7.8447
_cell_length_c 2.7488
_cell_angle_alpha 90.00
_cell_angle_beta 90.00
_cell_angle_gamma 90.00
loop_
_atom_site_label
_atom_site_type_symbol
_atom_site_fract_x
_atom_site_fract_y
_atom_site_fract_z
_atom_site_occupancy
Cr1 Cr 0.0000 0.0000 0.0000 1
Co1 Co 0.0000 0.5000 0.0000 1
Ag1 Ag 0.2500 0.2500 0.5000 1



# Cd3AsI3 | Alexandria via LeMat-Bulk | meta-GGA SCAN | PBEsol geometry
# - Electronic total energy: -32.13 eV per atom
# - V: 36.37 Å³/atom
data_Cd3AsI3
_symmetry_space_group_name_H-M 'P 1 m 1'
_symmetry_Int_Tables_number 6
_cell_length_a 7.3360
_cell_length_b 4.5044
_cell_length_c 7.7040
_cell_angle_alpha 90.00
_cell_angle_beta 90.07
_cell_angle_gamma 90.00
loop_
_symmetry_equiv_pos_as_xyz
'x,y,z'
'x,-y,z'
loop_
_atom_site_label
_atom_site_type_symbol
_atom_site_fract_x
_atom_site_fract_y
_atom_site_fract_z
_atom_site_occupancy
Cd1 Cd 0.0000 0.0000 0.0000 1
Cd2 Cd 0.0320 0.5000 0.5700 1
Cd3 Cd 0.5564 0.5000 0.8303 1
As1 As 0.9014 0.5000 0.8757 1
I1 I 0.4009 0.0000 0.0233 1
I2 I 0.4055 0.5000 0.4968 1
I3 I 0.8928 0.0000 0.3682 1



# Tc2BiH | Alexandria via LeMat-Bulk | meta-GGA SCAN | PBEsol geometry
# - Electronic total energy: -37.47 eV per atom
# - V: 15.17 Å³/atom
data_Tc2BiH
_symmetry_space_group_name_H-M 'I -4 2 d'
_symmetry_Int_Tables_number 122
_symmetry_space_group_name_Hall 'I -4 2bw'
_cell_length_a 4.8629
_cell_length_b 4.8629
_cell_length_c 10.2670
_cell_angle_alpha 90.00
_cell_angle_beta 90.00
_cell_angle_gamma 90.00
loop_
_atom_site_label
_atom_site_type_symbol
_atom_site_fract_x
_atom_site_fract_y
_atom_site_fract_z
_atom_site_occupancy
Tc1 Tc 0.0331 0.2500 0.1250 1
Bi1 Bi 0.0000 0.0000 0.5000 1
H1 H 0.0000 0.0000 0.0000 1



# RbAl2Ge2 | Alexandria via LeMat-Bulk | meta-GGA SCAN | PBEsol geometry
# - V: 24.95 Å³/atom
# - E_form: -0.151 eV/atom
data_RbAl2Ge2
_symmetry_space_group_name_H-M 'I 4/m m m'
_symmetry_Int_Tables_number 139
_symmetry_space_group_name_Hall '-I 4 2'
_cell_length_a 3.9681
_cell_length_b 3.9681
_cell_length_c 15.8478
_cell_angle_alpha 90.00
_cell_angle_beta 90.00
_cell_angle_gamma 90.00
loop_
_atom_site_label
_atom_site_type_symbol
_atom_site_fract_x
_atom_site_fract_y
_atom_site_fract_z
_atom_site_occupancy
Rb1 Rb 0.0000 0.0000 0.0000 1
Al1 Al 0.0000 0.5000 0.2500 1
Ge1 Ge 0.0000 0.0000 0.3575 1



# LaY2Zr | Alexandria via LeMat-Bulk | meta-GGA SCAN | PBEsol geometry
# - V: 28.57 Å³/atom
# - E_form: 0.119 eV/atom
data_LaY2Zr
_symmetry_space_group_name_H-M 'R -3 m'
_symmetry_Int_Tables_number 166
_symmetry_space_group_name_Hall '-R 3 2"'
_cell_length_a 3.4170
_cell_length_b 3.4170
_cell_length_c 33.9091
_cell_angle_alpha 90.00
_cell_angle_beta 90.00
_cell_angle_gamma 120.00
loop_
_atom_site_label
_atom_site_type_symbol
_atom_site_fract_x
_atom_site_fract_y
_atom_site_fract_z
_atom_site_occupancy
La1 La 0.0000 0.0000 0.0000 1
Y1 Y 0.0000 0.0000 0.2437 1
Zr1 Zr 0.0000 0.0000 0.5000 1



# KSc2Tl | Alexandria via LeMat-Bulk | meta-GGA SCAN | PBEsol geometry
# - V: 29.28 Å³/atom
# - E_form: 0.005 eV/atom
data_KSc2Tl
_symmetry_space_group_name_H-M 'P 4 m m'
_symmetry_Int_Tables_number 99
_cell_length_a 3.4961
_cell_length_b 3.4961
_cell_length_c 9.5807
_cell_angle_alpha 90.00
_cell_angle_beta 90.00
_cell_angle_gamma 90.00
loop_
_symmetry_equiv_pos_as_xyz
'x,y,z'
'-y,x,z'
'-x,-y,z'
'y,-x,z'
'-x,y,z'
'y,x,z'
'x,-y,z'
'-y,-x,z'
loop_
_atom_site_label
_atom_site_type_symbol
_atom_site_fract_x
_atom_site_fract_y
_atom_site_fract_z
_atom_site_occupancy
K1 K 0.0000 0.0000 0.0000 1
Sc1 Sc 0.0000 0.0000 0.4554 1
Sc2 Sc 0.5000 0.5000 0.6543 1
Tl1 Tl 0.5000 0.5000 0.2747 1



Question: Look up the V of the first one.
Answer: 14.53 Å³/atom



Question: Look up the V of the third one.
Answer: 15.17 Å³/atom



Question: The highest V belongs to which entry?
Answer: Cd3AsI3



Question: V of number 5 (LaY2Zr)?
Answer: 28.57 Å³/atom